! Ca2NpTiO6 (PBE, relaxed); values from VASP
&SYSTEM
  ibrav = 0, nat = 10, ntyp = 4
/
ATOMIC_SPECIES
Ca 40.08 Ca.upf
Np 237.00 Np.upf
Ti 47.87 Ti.upf
O 16.00 O.upf
CELL_PARAMETERS angstrom
2.847 1.644 4.771
-2.847 1.644 4.771
0.000 -3.288 4.771
ATOMIC_POSITIONS angstrom
Ca 0.000 0.000 0.000
Ca 0.000 0.000 7.118
Np 0.000 0.000 11.059
Ti 0.000 0.000 3.901
O -1.577 -0.270 5.187
O -1.131 -2.019 7.658
O 1.022 -1.231 5.187
O -1.183 1.989 7.658
O 0.555 1.500 5.187
O 2.314 0.030 7.658
! - DOS at the Fermi energy: 8.210 states/eV per cell
! - Crystal system: trigonal
! - Energy: -84.79 eV for the cell shown

=====

! LaPr5In4 (PBE, relaxed); values from VASP
&SYSTEM
  ibrav = 0, nat = 20, ntyp = 3
/
ATOMIC_SPECIES
La 138.91 La.upf
Pr 140.91 Pr.upf
In 114.82 In.upf
CELL_PARAMETERS angstrom
8.545 0.000 0.000
0.000 9.300 0.000
0.000 0.000 8.858
ATOMIC_POSITIONS angstrom
La 2.136 2.325 1.286
La 6.409 6.975 7.573
Pr 0.011 0.491 6.788
Pr 0.011 4.159 6.788
Pr 2.136 6.975 5.147
Pr 4.262 0.491 6.788
Pr 4.262 4.159 6.788
Pr 4.283 5.141 2.070
Pr 4.283 8.810 2.070
Pr 6.409 2.325 3.711
Pr 8.534 5.141 2.070
Pr 8.534 8.810 2.070
In 0.779 6.975 8.347
In 2.136 0.857 4.305
In 2.136 3.793 4.305
In 3.494 6.975 8.347
In 5.051 2.325 0.512
In 6.409 5.507 4.554
In 6.409 8.443 4.554
In 7.766 2.325 0.512
! - DOS at the Fermi energy: 19.374 states/eV per cell
! - Distance to the lowest polymorph of the same formula: 246 meV per atom
! - Crystal system: orthorhombic
! - Energy: -82.38 eV for the cell shown

=====

! BaPm2AgO5 (PBE, relaxed); values from VASP
&SYSTEM
  ibrav = 0, nat = 18, ntyp = 4
/
ATOMIC_SPECIES
Ba 137.33 Ba.upf
Pm 145.00 Pm.upf
Ag 107.87 Ag.upf
O 16.00 O.upf
CELL_PARAMETERS angstrom
-3.382 3.382 6.236
3.382 -3.382 6.236
3.382 3.382 -6.236
ATOMIC_POSITIONS angstrom
Ba 0.000 0.000 3.118
Ba 0.000 0.000 9.354
Pm 4.532 1.150 0.000
Pm 1.150 2.233 0.000
Pm 2.233 1.150 6.236
Pm -1.150 2.233 6.236
Ag 3.382 0.000 3.118
Ag 0.000 3.382 3.118
O 0.000 0.000 0.000
O 2.382 1.001 -1.468
O 2.382 -1.001 4.768
O 2.382 1.001 1.468
O 2.382 -1.001 7.705
O 0.000 0.000 6.236
O 1.001 4.383 -1.468
O 1.001 2.382 4.768
O 1.001 4.383 1.468
O 1.001 2.382 7.705
! - DOS at the Fermi energy: 14.441 states/eV per cell
! - Crystal system: tetragonal
! - Energy: -120.85 eV for the cell shown

=====

! AcSn2Ge (PBE, relaxed); values from VASP
&SYSTEM
  ibrav = 0, nat = 8, ntyp = 3
/
ATOMIC_SPECIES
Ac 227.00 Ac.upf
Sn 118.71 Sn.upf
Ge 72.64 Ge.upf
CELL_PARAMETERS angstrom
4.829 0.000 0.000
0.000 4.829 0.000
0.000 0.000 9.745
ATOMIC_POSITIONS angstrom
Ac 1.207 1.207 2.339
Ac 3.622 3.622 7.407
Sn 1.207 1.207 7.905
Sn 1.207 3.622 4.873
Sn 3.622 1.207 4.873
Sn 3.622 3.622 1.840
Ge 1.207 3.622 0.000
Ge 3.622 1.207 0.000
! - DOS at the Fermi energy: 2.956 states/eV per cell
! - Distance to the lowest polymorph of the same formula: 61 meV per atom
! - Crystal system: tetragonal
! - Energy: -36.46 eV for the cell shown

=====

! SrCaLa3 (PBE, relaxed); values from VASP
&SYSTEM
  ibrav = 0, nat = 5, ntyp = 3
/
ATOMIC_SPECIES
Sr 87.62 Sr.upf
Ca 40.08 Ca.upf
La 138.91 La.upf
CELL_PARAMETERS angstrom
6.102 0.000 0.000
0.000 6.102 0.000
0.000 0.000 6.102
ATOMIC_POSITIONS angstrom
Sr 0.000 0.000 0.000
Ca 3.051 3.051 3.051
La 0.000 0.000 3.051
La 0.000 3.051 0.000
La 3.051 0.000 0.000
! - DOS at the Fermi energy: 8.840 states/eV per cell
! - Distance to the lowest polymorph of the same formula: 143 meV per atom
! - Crystal system: cubic
! - Energy: -14.81 eV for the cell shown

=====

! PmAlH6 (PBE, relaxed); values from VASP
&SYSTEM
  ibrav = 0, nat = 16, ntyp = 3
/
ATOMIC_SPECIES
Pm 145.00 Pm.upf
Al 26.98 Al.upf
H 1.01 H.upf
CELL_PARAMETERS angstrom
5.486 0.000 0.000
0.000 6.337 0.000
-0.932 0.000 4.084
ATOMIC_POSITIONS angstrom
Pm 0.000 0.000 0.000
Pm 2.743 3.168 0.000
Al -0.466 3.168 2.042
Al 2.277 0.000 2.042
H -0.090 2.021 3.269
H -0.090 4.316 3.269
H 0.571 0.000 2.294
H 1.239 3.168 1.791
H 1.900 1.147 0.815
H 1.900 5.189 0.815
H 2.653 1.147 3.269
H 2.653 5.189 3.269
H 3.314 3.168 2.294
H 3.982 0.000 1.791
H 4.643 2.021 0.815
H 4.643 4.316 0.815
! - DOS at the Fermi energy: 0.000 states/eV per cell
! - Crystal system: monoclinic
! - Energy: -62.13 eV for the cell shown

=====

! BeCo2Os (PBE, relaxed); values from VASP
&SYSTEM
  ibrav = 0, nat = 8, ntyp = 3
/
ATOMIC_SPECIES
Be 9.01 Be.upf
Co 58.93 Co.upf
Os 190.23 Os.upf
CELL_PARAMETERS angstrom
2.772 0.000 0.000
0.000 3.907 0.000
0.000 0.000 7.833
ATOMIC_POSITIONS angstrom
Be 0.000 0.000 0.000
Be 1.386 1.953 3.917
Co 0.000 1.953 2.124
Co 0.000 1.953 5.709
Co 1.386 0.000 1.792
Co 1.386 0.000 6.041
Os 0.000 0.000 3.917
Os 1.386 1.953 0.000
! - DOS at the Fermi energy: 8.039 states/eV per cell
! - Crystal system: orthorhombic
! - Energy: -58.61 eV for the cell shown

=====

! FeRhI2N (PBE, relaxed); values from VASP
&SYSTEM
  ibrav = 0, nat = 5, ntyp = 4
/
ATOMIC_SPECIES
Fe 55.84 Fe.upf
Rh 102.91 Rh.upf
I 126.90 I.upf
N 14.01 N.upf
CELL_PARAMETERS angstrom
5.618 0.000 0.000
0.000 5.618 0.000
0.000 0.000 3.690
ATOMIC_POSITIONS angstrom
Fe 0.000 0.000 0.000
Rh 2.809 2.809 1.845
I 0.000 2.809 1.845
I 2.809 0.000 1.845
N 2.809 2.809 0.000
! - DOS at the Fermi energy: 6.043 states/eV per cell
! - Distance to the lowest polymorph of the same formula: 119 meV per atom
! - Crystal system: tetragonal
! - Energy: -23.32 eV for the cell shown

=====

! Cu2RePt (PBE, relaxed); values from VASP
&SYSTEM
  ibrav = 0, nat = 4, ntyp = 3
/
ATOMIC_SPECIES
Cu 63.55 Cu.upf
Re 186.21 Re.upf
Pt 195.08 Pt.upf
CELL_PARAMETERS angstrom
2.632 0.000 0.000
0.000 4.400 0.000
-0.098 0.000 4.842
ATOMIC_POSITIONS angstrom
Cu 0.411 0.000 1.139
Cu 2.123 0.000 3.704
Re 1.316 2.200 0.000
Pt -0.049 2.200 2.421
! - DOS at the Fermi energy: 2.453 states/eV per cell
! - Distance to the lowest polymorph of the same formula: 140 meV per atom
! - Crystal system: monoclinic
! - Energy: -26.02 eV for the cell shown

=====

! Nb2Zn2Sb (PBE, relaxed); values from VASP
&SYSTEM
  ibrav = 0, nat = 10, ntyp = 3
/
ATOMIC_SPECIES
Nb 92.91 Nb.upf
Zn 65.41 Zn.upf
Sb 121.76 Sb.upf
CELL_PARAMETERS angstrom
7.030 0.000 0.000
0.000 7.030 0.000
0.000 0.000 3.921
ATOMIC_POSITIONS angstrom
Nb 0.968 2.547 0.000
Nb 2.547 6.062 0.000
Nb 4.483 0.968 0.000
Nb 6.062 4.483 0.000
Zn 1.091 4.607 1.961
Zn 2.424 1.091 1.961
Zn 4.607 5.939 1.961
Zn 5.939 2.424 1.961
Sb 0.000 0.000 0.000
Sb 3.515 3.515 0.000
! - DOS at the Fermi energy: 9.497 states/eV per cell
! - Crystal system: tetragonal
! - Energy: -52.43 eV for the cell shown

=====

! Nd2HoAl12Co3 (PBE, relaxed); values from VASP
&SYSTEM
  ibrav = 0, nat = 18, ntyp = 4
/
ATOMIC_SPECIES
Nd 144.24 Nd.upf
Ho 164.93 Ho.upf
Al 26.98 Al.upf
Co 58.93 Co.upf
CELL_PARAMETERS angstrom
4.209 2.430 6.271
-4.209 2.430 6.271
0.000 -4.860 6.271
ATOMIC_POSITIONS angstrom
Nd 0.000 0.000 1.603
Nd 0.000 0.000 17.210
Ho 0.000 0.000 9.406
Al -2.660 -1.536 8.466
Al 0.000 -1.836 6.551
Al -1.590 0.918 6.551
Al 0.000 -3.072 10.347
Al -2.660 1.536 10.347
Al -1.590 -0.918 12.262
Al 1.590 0.918 6.551
Al 2.660 -1.536 8.466
Al 0.000 3.072 8.466
Al 1.590 -0.918 12.262
Al 0.000 1.836 12.262
Al 2.660 1.536 10.347
Co -2.104 -1.215 6.271
Co -2.104 1.215 12.542
Co 0.000 2.430 6.271
! - DOS at the Fermi energy: 10.172 states/eV per cell
! - Crystal system: trigonal
! - Energy: -80.29 eV for the cell shown

=====

! CeAlOs2C (PBE, relaxed); values from VASP
&SYSTEM
  ibrav = 0, nat = 10, ntyp = 4
/
ATOMIC_SPECIES
Ce 140.12 Ce.upf
Al 26.98 Al.upf
Os 190.23 Os.upf
C 12.01 C.upf
CELL_PARAMETERS angstrom
2.033 -5.602 0.000
2.033 5.602 0.000
0.000 0.000 7.205
ATOMIC_POSITIONS angstrom
Ce 2.033 4.984 5.404
Ce 2.033 -4.984 1.801
Al 2.033 3.061 1.801
Al 2.033 -3.061 5.404
Os 2.033 1.838 4.043
Os 2.033 1.838 6.764
Os 2.033 -1.838 0.441
Os 2.033 -1.838 3.162
C 2.033 0.000 0.000
C 2.033 0.000 3.602
! - DOS at the Fermi energy: 9.780 states/eV per cell
! - Crystal system: orthorhombic
! - Energy: -86.01 eV for the cell shown

=====

Number 1: M_tot 3.0 μB/f.u.. Number 2: M_tot 0.0 μB/f.u.. Number 3: M_tot 0.9 μB/f.u.. Number 4: M_tot 0.0 μB/f.u.. Number 5: M_tot 0.0 μB/f.u.. Number 6: M_tot 0.0 μB/f.u.. Number 7: M_tot 0.8 μB/f.u.. Number 8: M_tot 3.5 μB/f.u.. Number 9: M_tot 0.0 μB/f.u.. Number 10: M_tot 0.0 μB/f.u.. Number 11: M_tot 0.0 μB/f.u.. Number 12: M_tot 0.0 μB/f.u..